No. 1
Here is a relaxed structure of LaTa2Cr from the Alexandria database. Energies are from PBE.

a b c (Å): 5.5769 5.5769 5.5769
angles (deg): 146.06 126.34 65.02
Sites, in units of the cell vectors:
Cr 0.5119 0.5119 0.0000
La 0.2698 0.7698 0.5000
Ta 0.0035 0.0035 0.0000
Ta 0.7149 0.2149 0.5000

Calculated volume   19.3 Å³/atom
Electronic total energy   -35.77 eV per cell
Formation energy from the elements   622 meV/atom
Relative energy among the computed polymorphs   0.323 eV per atom
Crystal system   orthorhombic
Mass density   11.9 Mg/m³

***

No. 2
Here is a relaxed structure of LaTa2Cr from the Alexandria database. Energies are from PBE.

a b c (Å): 2.9616 2.9616 9.7684
angles (deg): 90.00 90.00 113.74
Sites, in units of the cell vectors:
Cr 0.5000 0.5000 0.2500
La 0.5000 0.5000 0.7500
Ta 0.0000 0.0000 0.0528
Ta 0.0000 0.0000 0.4472

Calculated volume   19.6 Å³/atom
Electronic total energy   -36.63 eV per cell
Formation energy from the elements   407 meV/atom
Relative energy among the computed polymorphs   0.108 eV per atom
Crystal system   orthorhombic
Mass density   11.7 Mg/m³

***

No. 3
Here is a relaxed structure of LaTa2Cr from the Alexandria database. Energies are from PBE.

a b c (Å): 3.2337 3.2337 7.8558
angles (deg): 90.00 90.00 90.00
Last column: magnetic moment on the atom in μB.
Sites, in units of the cell vectors:
Cr 0.0000 0.0000 0.4377  1.24
La 0.5000 0.5000 0.7324  -0.06
Ta 0.0000 0.0000 0.0569  -0.10
Ta 0.5000 0.5000 0.2730  -0.22

Calculated volume   20.5 Å³/atom
Electronic total energy   -36.72 eV per cell
Formation energy from the elements   384 meV/atom
Relative energy among the computed polymorphs   0.086 eV per atom
Crystal system   tetragonal
Mass density   11.2 Mg/m³